1.
A plane-wave DFT calculation with PBE was carried out for a relaxed structure of BaSi4Pd4.

Values from the calculation:
* ΔE_f (raw): -0.60 eV/atom
* distance to the lowest polymorph of the same formula: 0 meV per atom

```
BaSi4Pd4
1.0
6.124 0.000 0.000
0.000 6.124 0.000
0.000 0.000 8.518
Ba Si Pd
2 8 8
Direct
0.250 0.750 0.250
0.750 0.250 0.750
0.056 0.250 0.086
0.250 0.056 0.586
0.250 0.444 0.586
0.444 0.250 0.086
0.556 0.750 0.914
0.750 0.556 0.414
0.750 0.944 0.414
0.944 0.750 0.914
0.013 0.250 0.378
0.250 0.013 0.878
0.250 0.487 0.878
0.487 0.250 0.378
0.513 0.750 0.622
0.750 0.513 0.122
0.750 0.987 0.122
0.987 0.750 0.622
```

---

2.
A plane-wave DFT calculation with PBE was carried out for a relaxed structure of Ba2SiPd.

Values from the calculation:
* ΔE_f (raw): 0.03 eV/atom

```
Ba2SiPd
1.0
-4.340 4.340 3.537
4.340 -4.340 3.537
4.340 4.340 -3.537
Ba Si Pd
4 2 2
Direct
0.100 0.125 0.475
0.375 0.900 0.025
0.650 0.625 0.525
0.875 0.350 0.975
0.250 0.750 0.500
0.500 0.500 0.000
0.000 0.000 0.000
0.750 0.250 0.500
```

---

3.
A plane-wave DFT calculation with PBE was carried out for a relaxed structure of Ba3Si2Pd3.

Values from the calculation:
* ΔE_f (raw): -0.63 eV/atom

```
Ba3Si2Pd3
1.0
8.219 0.000 0.000
0.000 15.467 0.000
0.000 0.000 6.640
Ba Si Pd
12 8 12
Direct
0.006 0.108 0.137
0.006 0.392 0.137
0.150 0.250 0.614
0.350 0.750 0.114
0.494 0.608 0.637
0.494 0.892 0.637
0.506 0.108 0.363
0.506 0.392 0.363
0.650 0.250 0.886
0.850 0.750 0.386
0.994 0.608 0.863
0.994 0.892 0.863
0.153 0.585 0.367
0.153 0.915 0.367
0.347 0.085 0.867
0.347 0.415 0.867
0.653 0.585 0.133
0.653 0.915 0.133
0.847 0.085 0.633
0.847 0.415 0.633
0.139 0.038 0.613
0.139 0.462 0.613
0.195 0.750 0.528
0.305 0.250 0.028
0.361 0.538 0.113
0.361 0.962 0.113
0.639 0.038 0.887
0.639 0.462 0.887
0.695 0.750 0.972
0.805 0.250 0.472
0.861 0.538 0.387
0.861 0.962 0.387
```

---

4.
A plane-wave DFT calculation with PBE was carried out for a relaxed structure of BaSi3Pd5.

Values from the calculation:
* ΔE_f (raw): -0.71 eV/atom

```
BaSi3Pd5
1.0
1.979 -6.402 0.000
1.979 6.402 0.000
0.000 0.000 12.945
Ba Si Pd
2 6 10
Direct
0.159 0.841 0.750
0.841 0.159 0.250
0.111 0.889 0.250
0.384 0.616 0.032
0.384 0.616 0.468
0.616 0.384 0.532
0.616 0.384 0.968
0.889 0.111 0.750
0.000 0.000 0.000
0.000 0.000 0.500
0.203 0.797 0.069
0.203 0.797 0.431
0.446 0.554 0.645
0.446 0.554 0.855
0.554 0.446 0.145
0.554 0.446 0.355
0.797 0.203 0.569
0.797 0.203 0.931
```

---

5.
A plane-wave DFT calculation with PBE was carried out for a relaxed structure of Ba2SiPd.

Values from the calculation:
* ΔE_f (raw): -0.50 eV/atom

```
Ba2SiPd
1.0
4.571 0.000 0.000
0.000 2.567 5.540
0.000 -2.567 5.540
Ba Si Pd
2 1 1
Direct
0.000 0.000 0.000
0.500 0.296 0.296
0.000 0.688 0.688
0.500 0.607 0.607
```

---

6.
A plane-wave DFT calculation with PBE was carried out for a relaxed structure of BaSiPd2.

Values from the calculation:
* ΔE_f (raw): -0.70 eV/atom

```
BaSiPd2
1.0
7.474 0.000 0.000
0.000 4.521 0.000
0.000 0.000 11.207
Ba Si Pd
4 4 8
Direct
0.155 0.250 0.128
0.345 0.750 0.628
0.655 0.250 0.372
0.845 0.750 0.872
0.042 0.750 0.365
0.458 0.250 0.865
0.542 0.750 0.135
0.958 0.250 0.635
0.099 0.250 0.441
0.154 0.250 0.807
0.346 0.750 0.307
0.401 0.750 0.941
0.599 0.250 0.059
0.654 0.250 0.693
0.846 0.750 0.193
0.901 0.750 0.559
```

---

7.
A plane-wave DFT calculation with PBE was carried out for a relaxed structure of BaSi2Pd3.

Values from the calculation:
* ΔE_f (raw): -0.66 eV/atom

```
BaSi2Pd3
1.0
8.752 -2.060 0.000
8.752 2.060 0.000
-2.556 0.000 10.004
Ba Si Pd
3 6 9
Direct
0.000 0.000 0.000
0.145 0.145 0.719
0.855 0.855 0.281
0.199 0.199 0.134
0.355 0.355 0.542
0.494 0.494 0.738
0.506 0.506 0.262
0.645 0.645 0.458
0.801 0.801 0.866
0.061 0.061 0.367
0.225 0.225 0.396
0.305 0.305 0.004
0.360 0.360 0.779
0.500 0.500 0.500
0.640 0.640 0.221
0.695 0.695 0.996
0.775 0.775 0.604
0.939 0.939 0.633
```

---

8.
A plane-wave DFT calculation with PBE was carried out for a relaxed structure of Ba4Si3Pd.

Values from the calculation:
* ΔE_f (raw): -0.44 eV/atom

```
Ba4Si3Pd
1.0
4.354 0.000 0.000
0.000 5.044 0.000
0.000 0.000 11.815
Ba Si Pd
4 3 1
Direct
0.000 0.000 0.000
0.000 0.500 0.499
0.500 0.000 0.716
0.500 0.500 0.216
0.000 0.500 0.801
0.500 0.000 0.402
0.500 0.500 0.916
0.000 0.000 0.312
```

---

9.
A plane-wave DFT calculation with PBE was carried out for a relaxed structure of BaSiPd.

Values from the calculation:
* ΔE_f (raw): -0.58 eV/atom

```
BaSiPd
1.0
4.240 0.000 0.000
-2.120 3.672 0.000
0.000 0.000 5.091
Ba Si Pd
1 1 1
Direct
0.000 0.000 0.000
0.333 0.667 0.500
0.667 0.333 0.500
```

---

10.
A plane-wave DFT calculation with PBE was carried out for a relaxed structure of Ba2TlSiPd6.

Values from the calculation:
* ΔE_f (raw): -0.54 eV/atom

```
Ba2TlSiPd6
1.0
6.632 0.000 0.000
3.296 5.783 0.000
3.267 1.835 6.151
Ba Tl Si Pd
2 1 1 6
Direct
0.220 0.220 0.340
0.780 0.780 0.660
0.500 0.500 0.500
0.000 0.000 0.000
0.238 0.657 0.864
0.241 0.237 0.856
0.338 0.764 0.140
0.662 0.236 0.860
0.759 0.763 0.144
0.762 0.343 0.136
```

---

11.
A plane-wave DFT calculation with PBE was carried out for a relaxed structure of Ba2TlSiPd.

Values from the calculation:
* ΔE_f (raw): -0.36 eV/atom

```
Ba2TlSiPd
1.0
6.202 0.000 0.000
0.000 6.202 0.000
0.000 0.000 4.652
Ba Tl Si Pd
2 1 1 1
Direct
0.000 0.500 0.000
0.500 0.000 0.000
0.000 0.000 0.500
0.500 0.500 0.500
0.500 0.500 0.000
```

---

12.
A plane-wave DFT calculation with PBE was carried out for a relaxed structure of BaZnSiPd.

Values from the calculation:
* ΔE_f (raw): -0.39 eV/atom

```
BaZnSiPd
1.0
-2.241 2.320 4.810
2.241 -2.320 4.810
2.241 2.320 -4.810
Ba Zn Si Pd
1 1 1 1
Direct
0.000 0.000 0.000
0.359 0.359 0.000
0.738 0.238 0.500
0.640 0.640 0.000
```

---

13.
A plane-wave DFT calculation with PBE was carried out for a relaxed structure of Ba2ZnSiPd6.

Values from the calculation:
* ΔE_f (raw): -0.56 eV/atom

```
Ba2ZnSiPd6
1.0
6.634 0.000 0.000
3.086 5.877 0.000
3.095 1.852 5.607
Ba Zn Si Pd
2 1 1 6
Direct
0.211 0.211 0.210
0.789 0.789 0.790
0.000 0.000 0.000
0.500 0.500 0.500
0.248 0.654 0.254
0.253 0.249 0.653
0.345 0.746 0.751
0.655 0.254 0.249
0.747 0.751 0.347
0.752 0.346 0.746
```

---

14.
A plane-wave DFT calculation with PBE was carried out for a relaxed structure of BaZn2SiPd.

Values from the calculation:
* ΔE_f (raw): -0.26 eV/atom

```
BaZn2SiPd
1.0
4.937 0.000 0.000
0.000 4.937 0.000
0.000 0.000 4.771
Ba Zn Si Pd
1 2 1 1
Direct
0.000 0.000 0.000
0.000 0.500 0.500
0.500 0.000 0.500
0.500 0.500 0.000
0.500 0.500 0.500
```

---

15.
A plane-wave DFT calculation with PBE was carried out for a relaxed structure of BaSmPd2.

Values from the calculation:
* distance to the lowest polymorph of the same formula: 0 meV per atom
* energy of formation from the pure elements: -0.665 eV/atom

```
BaSmPd2
1.0
3.710 0.000 0.000
0.000 3.710 0.000
0.000 0.000 7.642
Ba Sm Pd
1 1 2
Direct
0.000 0.000 0.000
0.000 0.000 0.500
0.500 0.500 0.301
0.500 0.500 0.699
```

---

16.
A plane-wave DFT calculation with PBE was carried out for a relaxed structure of BaSmPd4.

Values from the calculation:
* energy of formation from the pure elements: -0.595 eV/atom

```
BaSmPd4
1.0
0.000 3.969 3.969
3.969 0.000 3.969
3.969 3.969 0.000
Ba Sm Pd
1 1 4
Direct
0.000 0.000 0.000
0.750 0.750 0.750
0.376 0.376 0.376
0.376 0.376 0.873
0.376 0.873 0.376
0.873 0.376 0.376
```

---

17.
A plane-wave DFT calculation with PBE was carried out for a relaxed structure of BaSmPd2.

Values from the calculation:
* distance to the lowest polymorph of the same formula: 101 meV per atom
* energy of formation from the pure elements: -0.564 eV/atom

```
BaSmPd2
1.0
2.416 1.395 5.783
-2.416 1.395 5.783
0.000 -2.790 5.783
Ba Sm Pd
1 1 2
Direct
0.000 0.000 0.000
0.500 0.500 0.500
0.213 0.213 0.213
0.787 0.787 0.787
```

---

18.
A plane-wave DFT calculation with PBE was carried out for a relaxed structure of BaSmPd2.

Values from the calculation:
* distance to the lowest polymorph of the same formula: 159 meV per atom
* energy of formation from the pure elements: -0.506 eV/atom

```
BaSmPd2
1.0
2.122 1.225 7.641
-2.122 1.225 7.641
0.000 -2.450 7.641
Ba Sm Pd
1 1 2
Direct
0.000 0.000 0.000
0.172 0.172 0.172
0.575 0.575 0.575
0.767 0.767 0.767
```

---

19.
A plane-wave DFT calculation with PBE was carried out for a relaxed structure of Ba2Sm2Pd15.

Values from the calculation:
* energy of formation from the pure elements: -0.469 eV/atom

```
Ba2Sm2Pd15
1.0
4.755 2.745 4.740
-4.755 2.745 4.740
0.000 -5.490 4.740
Ba Sm Pd
2 2 15
Direct
0.141 0.141 0.141
0.859 0.859 0.859
0.389 0.389 0.389
0.611 0.611 0.611
0.000 0.500 0.500
0.154 0.154 0.654
0.154 0.654 0.154
0.205 0.500 0.795
0.205 0.795 0.500
0.346 0.846 0.846
0.500 0.000 0.500
0.500 0.205 0.795
0.500 0.500 0.000
0.500 0.795 0.205
0.654 0.154 0.154
0.795 0.205 0.500
0.795 0.500 0.205
0.846 0.346 0.846
0.846 0.846 0.346
```

---

20.
A plane-wave DFT calculation with PBE was carried out for a relaxed structure of Ba2SmPd.

Values from the calculation:
* energy of formation from the pure elements: 0.083 eV/atom

```
Ba2SmPd
1.0
2.052 1.185 11.579
-2.052 1.185 11.579
0.000 -2.369 11.579
Ba Sm Pd
2 1 1
Direct
0.109 0.109 0.109
0.891 0.891 0.891
0.000 0.000 0.000
0.500 0.500 0.500
```

---

no.,size of the total moment (μB/f.u.)
1,0.000
2,0.000
3,0.000
4,0.000
5,0.000
6,0.000
7,0.000
8,0.000
9,0.002
10,0.000
11,0.000
12,0.000
13,0.000
14,0.000
15,0.000
16,0.000
17,0.000
18,0.000
19,0.000
20,0.554